Entry a
Material: TlPbO2
Method: DFT, GGA-PBE
State: relaxed

Cell: 5.5934 5.5934 6.7936 Å, 65.69 65.69 90.00°
Fractional coordinates of all 8 atoms:
1 O 0.8750 0.8669 0.7500
2 O 0.3750 0.3831 0.7500
3 O 0.1331 0.6250 0.2500
4 O 0.6169 0.1250 0.2500
5 Pb 0.0000 0.0000 0.0000
6 Pb 0.7500 0.2500 0.5000
7 Tl 0.5000 0.5000 0.0000
8 Tl 0.2500 0.7500 0.5000

Space-group type: I-42d
ρ (g/cm3): 8.52

Entry b
Material: TlPbO2
Method: DFT, GGA-PBE
State: relaxed

Cell: 7.8036 7.8036 7.8036 Å, 25.67 25.67 25.67°
Fractional coordinates of all 4 atoms:
1 O 0.8829 0.8829 0.8829
2 O 0.1171 0.1171 0.1171
3 Tl 0.0000 0.0000 0.0000
4 Pb 0.5000 0.5000 0.5000

Space-group type: R-3m
ρ (g/cm3): 9.38

Entry c
Material: TlPbO2
Method: DFT, GGA-PBE
State: relaxed

Cell: 4.5243 4.5243 4.5243 Å, 60.00 60.00 60.00°
Last column: magnetic moment on the atom in μB.
Fractional coordinates of all 4 atoms:
1 O 0.7500 0.7500 0.7500  0.11
2 O 0.2500 0.2500 0.2500  0.11
3 Tl 0.0000 0.0000 0.0000  0.05
4 Pb 0.5000 0.5000 0.5000  0.00

Space-group type: Fm-3m
ρ (g/cm3): 11.25

Entry d
Material: TlPbO2
Method: DFT, GGA-PBE
State: relaxed

Cell: 6.2683 6.6053 6.1332 Å, 96.45 63.85 109.59°
Fractional coordinates of all 8 atoms:
1 Pb 0.7680 0.2761 0.2332
2 Pb 0.3230 0.8240 0.9045
3 Tl 0.9971 0.9771 0.5921
4 Tl 0.4519 0.3285 0.8730
5 O 0.5864 0.0861 0.5962
6 O 0.6182 0.6611 0.8180
7 O 0.4706 0.1041 0.1090
8 O 0.0584 0.1406 0.9674

Space-group type: P1
ρ (g/cm3): 6.87

The structure with the greatest stability is entry d.

Entry a
Material: TlPbO
Method: DFT, GGA-PBE
State: relaxed

Cell: 3.5798 5.3122 15.6802 Å, 90.00 90.00 90.00°
Fractional coordinates of all 12 atoms:
1 O 0.7500 0.8141 0.2303
2 O 0.7500 0.6859 0.7303
3 O 0.2500 0.3141 0.2697
4 O 0.2500 0.1859 0.7697
5 Tl 0.7500 0.2465 0.4613
6 Tl 0.2500 0.7535 0.5387
7 Tl 0.7500 0.2535 0.9613
8 Tl 0.2500 0.7465 0.0387
9 Pb 0.2500 0.7744 0.8169
10 Pb 0.2500 0.7256 0.3169
11 Pb 0.7500 0.2256 0.1831
12 Pb 0.7500 0.2744 0.6831

Space-group type: Pnma
ρ (g/cm3): 9.52

Entry b
Material: TlPbO
Method: DFT, GGA-PBE
State: relaxed

Cell: 3.5315 3.5315 6.6261 Å, 90.00 90.00 120.00°
Fractional coordinates of all 3 atoms:
1 O 0.3333 0.6667 0.6307
2 Pb 0.6667 0.3333 0.4369
3 Tl 0.0000 0.0000 0.9324

Space-group type: P3m1
ρ (g/cm3): 9.92

The structure with the greatest stability is entry a.

Entry a
Material: Tl2PbO
Method: DFT, GGA-PBE
State: relaxed

Cell: 7.3250 7.3250 6.5315 Å, 55.89 55.89 90.00°
Fractional coordinates of all 8 atoms:
1 Tl 0.8750 0.7879 0.7500
2 Tl 0.2121 0.6250 0.2500
3 Tl 0.5379 0.1250 0.2500
4 Tl 0.3750 0.4621 0.7500
5 Pb 0.0000 0.0000 0.0000
6 Pb 0.7500 0.2500 0.5000
7 O 0.2500 0.7500 0.5000
8 O 0.5000 0.5000 0.0000

Space-group type: I-42d
ρ (g/cm3): 9.83

Entry b
Material: Tl2PbO
Method: DFT, GGA-PBE
State: relaxed

Cell: 5.1790 5.1790 5.1790 Å, 60.00 60.00 60.00°
Fractional coordinates of all 4 atoms:
1 Pb 0.5000 0.5000 0.5000
2 O 0.0000 0.0000 0.0000
3 Tl 0.2500 0.2500 0.2500
4 Tl 0.7500 0.7500 0.7500

Space-group type: Fm-3m
ρ (g/cm3): 10.68

The structure with the greatest stability is entry a.

Entry a
Material: TlPb3O
Method: DFT, GGA-PBE
State: relaxed

Cell: 5.8677 5.8677 5.8677 Å, 90.00 90.00 90.00°
Fractional coordinates of all 5 atoms:
1 Tl 0.0000 0.0000 0.0000
2 O 0.5000 0.5000 0.5000
3 Pb 0.5000 0.0000 0.0000
4 Pb 0.0000 0.5000 0.0000
5 Pb 0.0000 0.0000 0.5000

Space-group type: Pm-3m
ρ (g/cm3): 6.92

Entry b
Material: TlPb3O
Method: DFT, GGA-PBE
State: relaxed

Cell: 5.1087 5.1087 5.1087 Å, 90.00 90.00 90.00°
Fractional coordinates of all 5 atoms:
1 Pb 0.0000 0.5000 0.0000
2 Pb 0.0000 0.0000 0.5000
3 Pb 0.5000 0.0000 0.0000
4 O 0.0000 0.0000 0.0000
5 Tl 0.5000 0.5000 0.5000

Space-group type: Pm-3m
ρ (g/cm3): 10.49

The structure with the greatest stability is entry b.

Entry a
Material: Tm2PbO
Method: DFT, GGA-PBE
State: relaxed

Cell: 4.4679 4.4679 8.7089 Å, 90.02 90.02 90.00°
Fractional coordinates of all 8 atoms:
1 Tm 0.7503 0.7503 0.8280
2 Tm 0.2500 0.7500 0.5000
3 Tm 0.2497 0.2497 0.1720
4 Tm 0.7500 0.2500 0.5000
5 O 0.2499 0.2499 0.4303
6 O 0.7501 0.7501 0.5697
7 Pb 0.7497 0.7497 0.1963
8 Pb 0.2503 0.2503 0.8037

Space-group type: P4/nmm
ρ (g/cm3): 10.72

Entry b
Material: Tm2PbO
Method: DFT, GGA-PBE
State: relaxed

Cell: 3.5175 3.5175 7.9015 Å, 77.14 77.14 60.00°
Fractional coordinates of all 4 atoms:
1 O 0.0000 0.0000 0.0000
2 Tm 0.2779 0.2779 0.1662
3 Tm 0.7221 0.7221 0.8338
4 Pb 0.5000 0.5000 0.5000

Space-group type: R-3m
ρ (g/cm3): 11.39

Entry c
Material: Tm2PbO
Method: DFT, GGA-PBE
State: relaxed

Cell: 3.1558 3.1558 7.8017 Å, 90.00 90.00 90.00°
Fractional coordinates of all 4 atoms:
1 Tm 0.0000 0.0000 0.1967
2 Tm 0.0000 0.0000 0.8033
3 Pb 0.5000 0.5000 0.5000
4 O 0.5000 0.5000 0.0000

Space-group type: P4/mmm
ρ (g/cm3): 11.99

The structure with the greatest stability is entry a.

Entry a
Material: U2Pb2O7
Method: DFT, GGA-PBE
State: relaxed

Cell: 5.7326 5.4793 5.4793 Å, 82.23 90.00 90.00°
Last column: magnetic moment on the atom in μB.
Fractional coordinates of all 11 atoms:
1 O 0.2767 0.0000 0.5000  -0.04
2 O 0.7233 0.5000 0.0000  -0.04
3 O 0.7313 0.5000 0.5000  -0.02
4 O 0.7233 0.0000 0.5000  -0.04
5 O 0.5000 0.0000 0.0000  -0.04
6 O 0.2687 0.5000 0.5000  -0.02
7 O 0.2767 0.5000 0.0000  -0.04
8 U 0.5000 0.7335 0.7335  1.07
9 U 0.5000 0.2665 0.2665  1.07
10 Pb 0.0000 0.2486 0.7514  0.00
11 Pb 0.0000 0.7514 0.2486  0.00

Space-group type: Cmmm
ρ (g/cm3): 9.76

Entry b
Material: U2Pb2O7
Method: DFT, GGA-PBE
State: relaxed

Cell: 8.0578 8.0578 8.0578 Å, 60.00 60.00 60.00°
Last column: magnetic moment on the atom in μB.
Fractional coordinates of all 22 atoms:
1 O 0.0563 0.4437 0.4437  -0.04
2 O 0.1937 0.1937 0.8063  -0.04
3 O 0.1937 0.8063 0.8063  -0.04
4 O 0.0563 0.4437 0.0563  -0.04
5 O 0.8063 0.1937 0.1937  -0.04
6 O 0.7500 0.7500 0.7500  0.00
7 O 0.0563 0.0563 0.4437  -0.04
8 O 0.4437 0.4437 0.0563  -0.04
9 O 0.8063 0.1937 0.8063  -0.04
10 O 0.1937 0.8063 0.1937  -0.04
11 O 0.4437 0.0563 0.0563  -0.04
12 O 0.8063 0.8063 0.1937  -0.04
13 O 0.5000 0.5000 0.5000  0.00
14 O 0.4437 0.0563 0.4437  -0.04
15 Pb 0.6250 0.6250 0.1250  0.00
16 Pb 0.6250 0.6250 0.6250  0.00
17 Pb 0.6250 0.1250 0.6250  0.00
18 Pb 0.1250 0.6250 0.6250  0.00
19 U 0.1250 0.1250 0.6250  1.06
20 U 0.6250 0.1250 0.1250  1.06
21 U 0.1250 0.1250 0.1250  1.06
22 U 0.1250 0.6250 0.1250  1.06

Space-group type: Fd-3m
ρ (g/cm3): 9.00

The structure with the greatest stability is entry b.

Entry a
Material: UPbO4
Method: DFT, GGA-PBE
State: relaxed

Cell: 5.7953 6.0381 5.9776 Å, 90.00 90.00 90.00°
Fractional coordinates of all 12 atoms:
1 O 0.8359 0.6328 0.7666
2 O 0.3359 0.3672 0.2666
3 O 0.4127 0.7659 0.0000
4 O 0.9127 0.2341 0.5000
5 O 0.8359 0.6328 0.2334
6 O 0.7103 0.2046 0.0000
7 O 0.3359 0.3672 0.7334
8 O 0.2103 0.7954 0.5000
9 U 0.5692 0.4895 0.0000
10 U 0.0692 0.5105 0.5000
11 Pb 0.0079 0.9096 0.0000
12 Pb 0.5079 0.0904 0.5000

Space-group type: Pmn2_1
ρ (g/cm3): 8.09

Entry b
Material: UPbO4
Method: DFT, GGA-PBE
State: relaxed

Cell: 5.6886 8.0359 8.2911 Å, 90.00 90.00 90.00°
Fractional coordinates of all 24 atoms:
1 Pb 0.4883 0.7036 0.2500
2 Pb 0.5117 0.2036 0.2500
3 Pb 0.4883 0.7964 0.7500
4 Pb 0.5117 0.2964 0.7500
5 O 0.8491 0.7500 0.5000
6 O 0.7035 0.0854 0.5778
7 O 0.1312 0.9616 0.7500
8 O 0.7035 0.4146 0.4222
9 O 0.8491 0.7500 0.0000
10 O 0.1509 0.2500 0.5000
11 O 0.8688 0.4616 0.7500
12 O 0.1509 0.2500 0.0000
13 O 0.7035 0.4146 0.0778
14 O 0.8688 0.0384 0.2500
15 O 0.1312 0.5384 0.2500
16 O 0.2965 0.9146 0.4222
17 O 0.2965 0.5854 0.9222
18 O 0.7035 0.0854 0.9222
19 O 0.2965 0.9146 0.0778
20 O 0.2965 0.5854 0.5778
21 U 0.0000 0.5000 0.5000
22 U 0.0000 0.0000 0.0000
23 U 0.0000 0.0000 0.5000
24 U 0.0000 0.5000 0.0000

Space-group type: Pbcm
ρ (g/cm3): 8.92

Entry c
Material: UPbO4
Method: DFT, GGA-PBE
State: relaxed

Cell: 3.7796 6.5543 14.7981 Å, 90.00 90.00 90.00°
Fractional coordinates of all 24 atoms:
1 U 0.2500 0.5923 0.6065
2 U 0.7500 0.4077 0.3935
3 U 0.2500 0.0923 0.8935
4 U 0.7500 0.9077 0.1065
5 O 0.2500 0.3394 0.6777
6 O 0.7500 0.4449 0.5494
7 O 0.2500 0.8751 0.5694
8 O 0.7500 0.1606 0.1777
9 O 0.2500 0.5551 0.4506
10 O 0.2500 0.0551 0.0494
11 O 0.7500 0.1249 0.4306
12 O 0.2500 0.3751 0.9306
13 O 0.7500 0.1887 0.8170
14 O 0.2500 0.3113 0.3170
15 O 0.7500 0.6249 0.0694
16 O 0.7500 0.6887 0.6830
17 O 0.7500 0.6606 0.3223
18 O 0.2500 0.8394 0.8223
19 O 0.2500 0.8113 0.1830
20 O 0.7500 0.9449 0.9506
21 Pb 0.7500 0.0901 0.6508
22 Pb 0.2500 0.9099 0.3492
23 Pb 0.2500 0.4099 0.1508
24 Pb 0.7500 0.5901 0.8492

Space-group type: Pnma
ρ (g/cm3): 9.23

The structure with the greatest stability is entry b.